Compound: LaGeNF2
Source: Alexandria
Functional: PBE
Structure: optimized geometry

Lattice parameters (Å, degrees): 4.5892 4.5892 4.8111 90.00 90.00 90.00
With the nearest neighbours (Å) after each atom.
Space group P4/mmm (No. 123)
Unique sites:
La  0.0000  0.0000  0.0000 (multiplicity 1)  4 F 2.29, 2 N 2.41
Ge  0.5000  0.5000  0.5000 (multiplicity 1)  4 N 3.25, 8 F 3.32
N  0.0000  0.0000  0.5000 (multiplicity 1)  2 La 2.41
F  0.0000  0.5000  0.0000 (multiplicity 2)  2 La 2.29

Computed properties:
ΔE_f (raw) = -1.374 eV per atom
polymorph energy (0 for the lowest one) = 54.3 meV per atom



Compound: TaNb2In2S6
Source: Alexandria
Functional: PBE
Structure: optimized geometry

Lattice parameters (Å, degrees): 5.8862 10.4281 8.2049 90.00 103.74 90.00
With the nearest neighbours (Å) after each atom.
Space group C2/m (No. 12)
Unique sites:
Ta  0.0000  0.0000  0.0000 (multiplicity 2)  6 S 2.49-2.52
Nb  0.0000  0.3602  0.0000 (multiplicity 4)  6 S 2.46-2.65
In  0.0000  0.1813  0.5000 (multiplicity 4)  6 S 3.12-3.18, 2 In 3.27
S  0.2233  0.1695  0.1838 (multiplicity 8)  1 Ta 2.49, 2 Nb 2.49-2.65
S  0.2498  0.0000  0.7895 (multiplicity 4)  2 Nb 2.46, 1 Ta 2.52

Computed properties:
ΔE_f (raw) = -0.818 eV per atom



| no. | electronic total energy (eV per cell) |
| --- | --- |
| 1 | -28.48 |
| 2 | -142.46 |